# 1
Below is a geometry-optimized CrPt2 structure, with properties calculated at the GGA-PBE level.

Cell: 7.2398 7.2398 4.4963 Å, 90.00 90.00 158.41°
Last column: nearest neighbours and their distance in Å.
Fractional positions:
Pt 0.6258 0.3742 0.2500  4 Cr 2.60-2.61, 6 Pt 2.71-2.79
Pt 0.9415 0.0585 0.2500  2 Cr 2.64, 10 Pt 2.71-2.95
Pt 0.3742 0.6258 0.7500  4 Cr 2.60-2.61, 6 Pt 2.71-2.79
Pt 0.0585 0.9415 0.7500  2 Cr 2.64, 10 Pt 2.71-2.95
Cr 0.7174 0.2826 0.7500  6 Pt 2.60-2.64, 6 Cr 2.71-2.78
Cr 0.2826 0.7174 0.2500  6 Pt 2.60-2.64, 6 Cr 2.71-2.78

Computed properties:
For the formation energy, the calculation gives -0.070 eV per atom. As for the space group: No. 63.

# 2
Below is a geometry-optimized Ba4NaO structure, with properties calculated at the GGA-PBE level.

Cell: 7.3054 8.4422 9.6640 Å, 104.92 112.17 90.01°
Last column: nearest neighbours and their distance in Å.
Fractional positions:
O 0.5000 0.0000 0.5000  4 Ba 2.63-2.94
O 0.0000 0.5000 0.5000  4 Ba 2.63-2.94
Ba 0.1381 0.1798 0.4022  2 O 2.94-3.01
Ba 0.7119 0.4464 0.2238  1 O 2.63
Ba 0.4880 0.0536 0.7762  1 O 2.63
Ba 0.2641 0.6798 0.4022  2 O 2.94-3.01
Ba 0.2881 0.5536 0.7762  1 O 2.63
Ba 0.8619 0.8202 0.5978  2 O 2.94-3.01
Ba 0.7359 0.3202 0.5978  2 O 2.94-3.01
Ba 0.5120 0.9464 0.2238  1 O 2.63
Na 0.1041 0.2498 0.0000  10 Ba 4.00-4.35
Na 0.8959 0.7502 0.0000  10 Ba 4.00-4.35

Computed properties:
The energy above the lowest structure with this stoichiometry comes out at 0.075 eV per atom. As for the space group: No. 2. As for the uncorrected formation energy: -0.72 eV/atom.

# 3
Below is a geometry-optimized LaNbTcP2 structure, with properties calculated at the GGA-PBE level.

Cell: 3.9534 3.9534 6.7630 Å, 106.99 106.99 90.00°
Last column: nearest neighbours and their distance in Å.
Fractional positions:
P 0.3730 0.3730 0.7461  2 Nb 2.49, 2 Tc 2.49
P 0.6270 0.6270 0.2539  2 Nb 2.49, 2 Tc 2.49
Tc 0.7500 0.2500 0.5000  4 P 2.49
Nb 0.2500 0.7500 0.5000  4 P 2.49
La 0.0000 0.0000 0.0000  8 P 3.20

Computed properties:
For the formation energy, the calculation gives -0.891 eV per atom. As for the space group: No. 119.